The following is a DFT calculation (PBE) of BeBIr after structural relaxation.

Output
E_form ... -219.7 meV per atom
Density of states at the Fermi level ... 0.18 states/eV/f.u.
Electronic total energy ... -6.641 eV/atom
Distance to the lowest polymorph of the same formula ... 36.6 kJ/mol of formula units

POSCAR file:
```
BeBIr
1.0
2.7842 0.0000 0.0000
0.0000 2.7842 0.0000
-1.3921 -1.3921 3.6715
Be B Ir
1 1 1
Cartesian
0.0000 0.0000 1.9737
1.3921 1.3921 0.8960
1.3921 1.3921 3.3719
```